LiCaNi2 | PBE | relaxed

Its space group is R-3m, No. 166.

Cell lengths 8.4043, 8.4043, 8.4043 Å; angles 20.52, 20.52, 20.52 degrees
Atoms (fractional coordinates):
Ni (0.5059, 0.5059, 0.5059)
Ni (0.9941, 0.9941, 0.9941)
Li (0.2500, 0.2500, 0.2500)
Ca (0.7500, 0.7500, 0.7500)

=====

DyThNp2As4 | PBE | relaxed

Its space group is P2/m, No. 10.

Cell lengths 4.1489, 7.2066, 7.1860 Å; angles 109.46, 90.00, 90.00 degrees
Atoms (fractional coordinates):
As (0.0000, 0.7576, 0.2570)
As (0.5000, 0.2477, 0.2546)
As (0.5000, 0.7523, 0.7454)
As (0.0000, 0.2424, 0.7430)
Np (0.0000, 0.5000, 0.5000)
Np (0.5000, 0.0000, 0.5000)
Dy (0.0000, 0.0000, 0.0000)
Th (0.5000, 0.5000, 0.0000)

=====

Mn2CoPd9 | PBE | relaxed

Its space group is P4/mmm, No. 123.

Cell lengths 3.8997, 3.8997, 11.7351 Å; angles 90.00, 90.00, 90.00 degrees
Atoms (fractional coordinates):
Pd (0.0000, 0.5000, 0.8373)
Pd (0.5000, 0.5000, 0.3314)
Pd (0.5000, 0.0000, 0.8373)
Pd (0.5000, 0.5000, 0.0000)
Pd (0.0000, 0.5000, 0.5000)
Pd (0.5000, 0.5000, 0.6686)
Pd (0.0000, 0.5000, 0.1627)
Pd (0.5000, 0.0000, 0.5000)
Pd (0.5000, 0.0000, 0.1627)
Co (0.0000, 0.0000, 0.0000)
Mn (0.0000, 0.0000, 0.3332)
Mn (0.0000, 0.0000, 0.6668)

=====

Sm2TmTl | PBE | relaxed

Its space group is Fm-3m, No. 225.

Cell lengths 5.5223, 5.5223, 5.5223 Å; angles 60.00, 60.00, 60.00 degrees
Atoms (fractional coordinates):
Sm (0.7500, 0.7500, 0.7500)
Sm (0.2500, 0.2500, 0.2500)
Tl (0.5000, 0.5000, 0.5000)
Tm (0.0000, 0.0000, 0.0000)

=====

Pa2Zn2Co4B | PBE | relaxed

Its space group is I4/mmm, No. 139.

Cell lengths 5.5285, 5.5285, 5.5285 Å; angles 102.89, 112.86, 112.86 degrees
Atoms (fractional coordinates):
Pa (0.5000, 0.7500, 0.2500)
Pa (0.5000, 0.2500, 0.7500)
Co (0.0000, 0.7724, 0.2276)
Co (0.5448, 0.7724, 0.7724)
Co (0.0000, 0.2276, 0.7724)
Co (0.4552, 0.2276, 0.2276)
Zn (0.0000, 0.6781, 0.6781)
Zn (0.0000, 0.3219, 0.3219)
B (0.0000, 0.0000, 0.0000)

=====

KRb3Pu2O9 | PBE | relaxed

Its space group is P-3m1, No. 164.

Cell lengths 6.2784, 6.2784, 7.8912 Å; angles 90.00, 90.00, 120.00 degrees
Atoms (fractional coordinates):
Rb (0.3333, 0.6667, 0.6544)
Rb (0.0000, 0.0000, 0.0000)
Rb (0.6667, 0.3333, 0.3456)
O (0.1889, 0.3779, 0.2901)
O (0.8111, 0.6221, 0.7099)
O (0.1889, 0.8111, 0.2901)
O (0.5000, 0.5000, 0.0000)
O (0.8111, 0.1889, 0.7099)
O (0.5000, 0.0000, 0.0000)
O (0.0000, 0.5000, 0.0000)
O (0.6221, 0.8111, 0.2901)
O (0.3779, 0.1889, 0.7099)
Pu (0.3333, 0.6667, 0.1476)
Pu (0.6667, 0.3333, 0.8524)
K (0.0000, 0.0000, 0.5000)

=====

YIn3Au4 | PBE | relaxed

Its space group is R-3m, No. 166.

Cell lengths 4.6856, 4.6856, 9.5549 Å; angles 75.81, 75.81, 60.00 degrees
Atoms (fractional coordinates):
Au (0.8768, 0.8768, 0.3697)
Au (0.1232, 0.1232, 0.6303)
Au (0.3836, 0.3836, 0.8491)
Au (0.6164, 0.6164, 0.1509)
Y (0.0000, 0.0000, 0.0000)
In (0.2513, 0.2513, 0.2461)
In (0.7487, 0.7487, 0.7539)
In (0.5000, 0.5000, 0.5000)

=====

PrYScTl | PBE | relaxed

Its space group is F-43m, No. 216.

Cell lengths 5.4564, 5.4564, 5.4564 Å; angles 60.00, 60.00, 60.00 degrees
Atoms (fractional coordinates):
Pr (0.2500, 0.2500, 0.2500)
Sc (0.5000, 0.5000, 0.5000)
Y (0.7500, 0.7500, 0.7500)
Tl (0.0000, 0.0000, 0.0000)

=====

CaNiN | PBE | relaxed

Its space group is Pm, No. 6.

Cell lengths 4.7880, 3.4437, 5.6841 Å; angles 90.00, 108.18, 90.00 degrees
Atoms (fractional coordinates):
Ca (0.2821, 0.5000, 0.9981)
Ca (0.9169, 0.0000, 0.3423)
N (0.7378, 0.5000, 0.8800)
N (0.4003, 0.0000, 0.3084)
Ni (0.7200, 0.0000, 0.8050)
Ni (0.4996, 0.5000, 0.5123)

=====

La4TbNd3Te8 | PBE | relaxed

Its space group is R-3m, No. 166.

Cell lengths 9.0687, 9.0340, 9.0646 Å; angles 120.08, 120.01, 90.00 degrees
Atoms (fractional coordinates):
Te (0.2447, 0.7416, 0.4894)
Te (0.7553, 0.2584, 0.5106)
Te (0.7522, 0.7415, 0.9968)
Te (0.7554, 0.2585, 0.0032)
Te (0.2478, 0.2585, 0.0032)
Te (0.2446, 0.7415, 0.9968)
Te (0.2516, 0.2547, 0.5031)
Te (0.7484, 0.7453, 0.4969)
Nd (0.5000, 0.5000, 0.0000)
Nd (0.0000, 0.5000, 0.5000)
Nd (0.5000, 0.5000, 0.5000)
Tb (0.0000, 0.5000, 0.0000)
La (0.0000, 0.0000, 0.5000)
La (0.0000, 0.0000, 0.0000)
La (0.5000, 0.0000, 0.5000)
La (0.5000, 0.0000, 0.0000)

=====

PaAgPd2 | PBE | relaxed

Its space group is R-3m, No. 166.

Cell lengths 3.0150, 3.0150, 9.6930 Å; angles 81.05, 81.05, 60.00 degrees
Atoms (fractional coordinates):
Pd (0.2480, 0.2480, 0.2560)
Pd (0.7520, 0.7520, 0.7440)
Ag (0.5000, 0.5000, 0.5000)
Pa (0.0000, 0.0000, 0.0000)

=====

DyNiPt | PBE | relaxed

Its space group is I4mm, No. 107.

Cell lengths 3.4714, 3.4714, 5.0890 Å; angles 109.94, 109.94, 90.00 degrees
Atoms (fractional coordinates):
Pt (0.2928, 0.2928, 0.5856)
Dy (0.6174, 0.6174, 0.2348)
Ni (0.9398, 0.9398, 0.8796)

=====

Ordered total DFT energy (no corrections) results: -13.9, -65.0, -73.8, -16.5, -58.3, -109.8, -31.0, -20.3, -34.7, -87.7, -23.3, -18.1; unit eV per cell.